Entry 1:
A plane-wave DFT calculation with GGA-PBE was carried out for a geometry-optimized Mg2Fe2As structure.

formation enthalpy at 0 K = 262 meV per atom
relative energy among the computed polymorphs = 0.00 eV per formula unit
symmetry = No. 139
total moment = 0.00 Bohr magnetons per cell
Fermi-level density of states = 1.362 states/eV/atom

POSCAR file:
```
Mg2Fe2As
1.0
-1.591 1.591 8.135
1.591 -1.591 8.135
1.591 1.591 -8.135
Mg Fe As
2 2 1
Cartesian
0.000 0.000 1.828
0.000 0.000 14.442
1.591 0.000 4.068
0.000 1.591 4.068
0.000 0.000 8.135
```

Entry 2:
A plane-wave DFT calculation with GGA-PBE was carried out for a geometry-optimized Tb2MgF8 structure.

formation energy from raw total energies = -42.62 eV/f.u.
symmetry = No. 12
total moment = 0.00 Bohr magnetons per cell
Fermi-level density of states = 0.000 states/eV/atom

POSCAR file:
```
Tb2MgF8
1.0
7.962 -1.704 0.000
7.962 1.704 0.000
-0.127 0.000 5.707
Tb Mg F
2 1 8
Cartesian
2.401 0.000 1.952
13.396 0.000 3.755
7.962 0.000 0.000
0.217 0.000 1.223
3.800 0.000 3.851
5.855 0.000 5.334
6.213 0.000 2.610
9.584 0.000 3.098
9.942 0.000 0.373
11.997 0.000 1.856
15.580 0.000 4.484
```

Entry 3:
A plane-wave DFT calculation with GGA-PBE was carried out for a geometry-optimized PmHo3Se4 structure.

relative energy among the computed polymorphs = 0.15 eV per formula unit
formation energy from raw total energies = -13.82 eV/f.u.
symmetry = No. 221
total moment = 0.00 Bohr magnetons per cell
Fermi-level density of states = 0.633 states/eV/atom

POSCAR file:
```
PmHo3Se4
1.0
5.791 0.000 0.000
0.000 5.791 0.000
0.000 0.000 5.791
Pm Ho Se
1 3 4
Cartesian
0.000 0.000 0.000
0.000 2.895 2.895
2.895 0.000 2.895
2.895 2.895 0.000
0.000 0.000 2.895
0.000 2.895 0.000
2.895 0.000 0.000
2.895 2.895 2.895
```

Entry 4:
A plane-wave DFT calculation with GGA-PBE was carried out for a geometry-optimized Y2HPb2 structure.

relative energy among the computed polymorphs = 0.00 eV per formula unit
symmetry = No. 36
total moment = 0.00 Bohr magnetons per cell
Fermi-level density of states = 0.232 states/eV/atom

POSCAR file:
```
Y2HPb2
1.0
2.008 -7.807 0.000
2.008 7.807 0.000
0.000 0.000 8.139
Y H Pb
4 2 4
Cartesian
2.008 7.183 4.070
2.008 2.284 2.772
2.008 -2.284 6.841
2.008 -7.183 0.000
2.008 6.528 6.554
2.008 -6.528 2.484
2.008 3.227 7.898
2.008 1.147 5.696
2.008 -1.147 1.626
2.008 -3.227 3.829
```

Entry 5:
A plane-wave DFT calculation with GGA-PBE was carried out for a geometry-optimized Tl2Cd4In3 structure.

formation enthalpy at 0 K = 46 meV per atom
relative energy among the computed polymorphs = 0.02 eV per formula unit
symmetry = No. 64
total moment = 0.00 Bohr magnetons per cell
Fermi-level density of states = 0.506 states/eV/atom

POSCAR file:
```
Tl2Cd4In3
1.0
3.151 -9.105 0.000
3.151 9.105 0.000
0.000 0.000 8.643
Tl Cd In
4 8 6
Cartesian
3.151 7.534 7.643
3.151 1.571 3.321
3.151 -1.571 5.322
3.151 -7.534 1.000
3.151 6.045 4.433
1.576 1.408 6.482
1.576 -1.408 2.161
3.151 3.060 0.112
3.151 -3.060 8.531
4.727 1.408 6.482
4.727 -1.408 2.161
3.151 -6.045 4.210
0.000 0.000 4.321
1.576 4.463 6.482
1.576 -4.463 2.161
3.151 0.000 0.000
4.727 4.463 6.482
4.727 -4.463 2.161
```

Entry 6:
A plane-wave DFT calculation with GGA-PBE was carried out for a geometry-optimized Y2MnAs structure.

formation enthalpy at 0 K = -354 meV per atom
symmetry = No. 119
total moment = 3.25 Bohr magnetons per cell
Fermi-level density of states = 1.058 states/eV/atom

POSCAR file:
```
Y2MnAs
1.0
-2.082 2.082 5.221
2.082 -2.082 5.221
2.082 2.082 -5.221
Y Mn As
2 1 1
Cartesian
0.000 0.000 0.000
0.000 2.082 2.610
0.000 0.000 5.221
2.082 0.000 2.610
```

Entry 7:
A plane-wave DFT calculation with GGA-PBE was carried out for a geometry-optimized FeCuAg4 structure.

formation enthalpy at 0 K = 582 meV per atom
symmetry = No. 216
total moment = 3.01 Bohr magnetons per cell
Fermi-level density of states = 0.725 states/eV/atom

POSCAR file:
```
FeCuAg4
1.0
0.000 3.794 3.794
3.794 0.000 3.794
3.794 3.794 0.000
Fe Cu Ag
1 1 4
Cartesian
0.000 0.000 0.000
1.897 1.897 1.897
4.743 2.846 2.846
2.846 4.743 2.846
2.846 2.846 4.743
4.743 4.743 4.743
```

Entry 8:
A plane-wave DFT calculation with GGA-PBE was carried out for a geometry-optimized Pm4Sn structure.

formation enthalpy at 0 K = 227 meV per atom
relative energy among the computed polymorphs = 1.59 eV per formula unit
symmetry = No. 221
total moment = 1.58 Bohr magnetons per cell
Fermi-level density of states = 2.280 states/eV/atom

POSCAR file:
```
Pm4Sn
1.0
5.909 0.000 0.000
0.000 5.909 0.000
0.000 0.000 5.909
Pm Sn
4 1
Cartesian
0.000 0.000 0.000
0.000 2.955 2.955
2.955 0.000 2.955
2.955 2.955 0.000
2.955 2.955 2.955
```

Entry 9:
A plane-wave DFT calculation with GGA-PBE was carried out for a geometry-optimized AlSeN2O structure.

formation energy from raw total energies = 2.63 eV/f.u.
symmetry = No. 123
total moment = 1.31 Bohr magnetons per cell
Fermi-level density of states = 0.518 states/eV/atom

POSCAR file:
```
AlSeN2O
1.0
3.916 0.000 0.000
0.000 3.916 0.000
0.000 0.000 3.567
Al Se N O
1 1 2 1
Cartesian
0.000 0.000 0.000
1.958 1.958 1.784
0.000 1.958 0.000
1.958 0.000 0.000
0.000 0.000 1.784
```

Entry 10:
A plane-wave DFT calculation with GGA-PBE was carried out for a geometry-optimized Ca8Al2Zn structure.

formation enthalpy at 0 K = -76 meV per atom
relative energy among the computed polymorphs = 0.71 eV per formula unit
symmetry = No. 71
total moment = 0.00 Bohr magnetons per cell
Fermi-level density of states = 0.714 states/eV/atom

POSCAR file:
```
Ca8Al2Zn
1.0
-2.641 4.451 7.437
2.641 -4.451 7.437
2.641 4.451 -7.437
Ca Al Zn
8 2 1
Cartesian
2.641 2.556 -2.364
0.000 0.000 2.034
0.000 2.866 0.000
2.641 2.556 2.364
0.000 1.895 5.073
0.000 6.037 0.000
0.000 0.000 12.840
0.000 1.895 9.801
2.641 0.000 4.520
0.000 4.451 2.917
2.641 0.000 0.000
```

Entry 11:
A plane-wave DFT calculation with GGA-PBE was carried out for a geometry-optimized Nd2Sm structure.

formation enthalpy at 0 K = 15 meV per atom
relative energy among the computed polymorphs = 0.00 eV per formula unit
symmetry = No. 139
total moment = 0.00 Bohr magnetons per cell
Fermi-level density of states = 1.466 states/eV/atom

POSCAR file:
```
Nd2Sm
1.0
-1.833 1.833 7.779
1.833 -1.833 7.779
1.833 1.833 -7.779
Nd Sm
2 1
Cartesian
0.000 0.000 2.581
0.000 0.000 12.976
0.000 0.000 7.779
```

Entry 12:
A plane-wave DFT calculation with GGA-PBE was carried out for a geometry-optimized AcTm2Pt structure.

formation enthalpy at 0 K = -594 meV per atom
relative energy among the computed polymorphs = 0.09 eV per formula unit
symmetry = No. 160
total moment = 0.00 Bohr magnetons per cell
Fermi-level density of states = 1.145 states/eV/atom

POSCAR file:
```
AcTm2Pt
1.0
2.028 1.171 9.117
-2.028 1.171 9.117
0.000 -2.342 9.117
Ac Tm Pt
1 2 1
Cartesian
0.000 0.000 0.000
0.000 0.000 15.097
0.000 0.000 21.246
0.000 0.000 4.488
```

Entry 13:
A plane-wave DFT calculation with GGA-PBE was carried out for a geometry-optimized CrSb2TeBr structure.

relative energy among the computed polymorphs = 0.00 eV per formula unit
formation energy from raw total energies = 1.23 eV/f.u.
symmetry = No. 123
total moment = 0.43 Bohr magnetons per cell
Fermi-level density of states = 1.020 states/eV/atom

POSCAR file:
```
CrSb2TeBr
1.0
5.131 0.000 0.000
0.000 5.131 0.000
0.000 0.000 4.993
Cr Sb Te Br
1 2 1 1
Cartesian
0.000 0.000 0.000
0.000 2.565 0.000
2.565 0.000 0.000
0.000 0.000 2.497
2.565 2.565 2.497
```

Entry 14:
A plane-wave DFT calculation with GGA-PBE was carried out for a geometry-optimized Tb12Th2Sc structure.

formation enthalpy at 0 K = 134 meV per atom
symmetry = No. 10
total moment = 0.24 Bohr magnetons per cell
Fermi-level density of states = 1.488 states/eV/atom

POSCAR file:
```
Tb12Th2Sc
1.0
3.529 0.000 0.000
0.000 5.575 0.000
-1.734 0.000 24.345
Tb Th Sc
12 2 1
Cartesian
0.014 0.000 1.719
0.023 0.000 10.825
0.009 2.788 14.085
0.008 0.000 16.352
0.012 0.000 19.501
0.010 2.788 21.127
1.785 2.788 3.218
1.784 0.000 4.844
1.788 0.000 7.993
1.786 2.788 10.260
1.773 0.000 13.520
1.781 0.000 22.627
0.020 2.788 6.534
1.775 2.788 17.812
1.765 2.788 0.000
```

Entry 15:
A plane-wave DFT calculation with GGA-PBE was carried out for a geometry-optimized MgTaAu structure.

formation enthalpy at 0 K = -150 meV per atom
relative energy among the computed polymorphs = 0.14 eV per formula unit
symmetry = No. 10
total moment = 0.00 Bohr magnetons per cell
Fermi-level density of states = 0.491 states/eV/atom

POSCAR file:
```
MgTaAu
1.0
4.545 0.000 0.000
0.000 3.217 0.000
-2.266 0.000 7.509
Mg Ta Au
2 2 2
Cartesian
0.006 0.000 2.671
2.273 0.000 4.838
0.000 1.608 0.000
2.272 0.000 0.000
0.000 1.608 5.168
2.279 1.608 2.342
```

Entry 16:
A plane-wave DFT calculation with GGA-PBE was carried out for a geometry-optimized TcPBrCl2 structure.

relative energy among the computed polymorphs = 0.00 eV per formula unit
formation energy from raw total energies = 0.71 eV/f.u.
symmetry = No. 123
total moment = 0.07 Bohr magnetons per cell
Fermi-level density of states = 0.728 states/eV/atom

POSCAR file:
```
TcPBrCl2
1.0
4.752 0.000 0.000
0.000 4.752 0.000
0.000 0.000 4.727
Tc P Br Cl
1 1 1 2
Cartesian
0.000 0.000 0.000
0.000 0.000 2.363
2.376 2.376 2.363
0.000 2.376 0.000
2.376 0.000 0.000
```

Entry 17:
A plane-wave DFT calculation with GGA-PBE was carried out for a geometry-optimized La2PrSi structure.

relative energy among the computed polymorphs = 0.42 eV per formula unit
formation energy from raw total energies = -1.12 eV/f.u.
symmetry = No. 123
total moment = 0.00 Bohr magnetons per cell
Fermi-level density of states = 1.070 states/eV/atom

POSCAR file:
```
La2PrSi
1.0
4.812 0.000 0.000
0.000 4.812 0.000
0.000 0.000 4.909
La Pr Si
2 1 1
Cartesian
0.000 2.406 0.000
2.406 0.000 0.000
0.000 0.000 2.455
2.406 2.406 2.455
```

Entry 18:
A plane-wave DFT calculation with GGA-PBE was carried out for a geometry-optimized Hf3Sc4O12 structure.

formation energy from raw total energies = -67.19 eV/f.u.
symmetry = No. 1
total moment = 0.00 Bohr magnetons per cell
Fermi-level density of states = 0.000 states/eV/atom

POSCAR file:
```
Hf3Sc4O12
1.0
6.178 0.000 0.000
-1.041 6.105 0.000
-2.153 -2.517 17.837
Hf Sc O
9 12 36
Cartesian
0.000 0.000 0.000
-1.676 -1.601 14.194
-0.829 2.841 10.052
1.014 1.159 5.954
2.361 5.341 1.807
2.007 2.330 11.906
2.241 1.451 15.233
4.347 1.651 4.100
4.393 0.420 7.782
-0.925 4.061 6.463
-0.644 5.157 3.322
-0.801 1.633 13.688
-1.016 0.497 16.836
1.438 2.117 2.229
1.095 -0.909 12.413
1.410 0.244 9.279
1.146 -2.102 16.007
2.119 4.194 4.970
2.435 3.294 8.163
4.252 2.838 0.528
4.166 -0.726 10.932
-1.079 1.356 6.021
-2.164 0.260 14.960
-1.637 2.928 8.149
-1.158 0.799 9.726
-0.026 2.015 0.684
-0.962 -0.237 12.641
0.168 1.165 3.671
-0.834 -1.587 16.469
0.266 -0.194 7.579
1.506 0.024 1.513
0.520 -1.263 10.414
0.340 -1.965 14.093
1.416 -0.708 5.227
-0.050 2.590 11.972
1.134 4.003 3.045
0.949 3.183 6.644
-0.031 1.916 15.613
2.202 3.564 0.695
1.174 2.352 9.629
1.288 0.937 13.493
2.434 2.092 4.743
2.498 1.195 7.500
1.504 -0.074 16.401
2.422 0.471 11.174
3.540 1.758 2.204
4.122 0.206 0.092
3.187 -0.929 9.002
4.033 -0.393 3.750
3.002 -1.728 12.663
2.118 3.521 15.545
3.204 4.745 6.650
4.417 4.710 1.614
3.444 3.275 10.738
3.428 2.418 13.544
4.675 3.646 4.473
3.386 1.715 17.067
```

Entry 19:
A plane-wave DFT calculation with GGA-PBE was carried out for a geometry-optimized KSrCoPb2 structure.

formation enthalpy at 0 K = 849 meV per atom
symmetry = No. 123
total moment = 1.41 Bohr magnetons per cell
Fermi-level density of states = 1.037 states/eV/atom

POSCAR file:
```
KSrCoPb2
1.0
6.298 0.000 0.000
0.000 6.298 0.000
0.000 0.000 5.189
K Sr Co Pb
1 1 1 2
Cartesian
0.000 0.000 0.000
3.149 3.149 2.594
3.149 3.149 0.000
0.000 3.149 2.594
3.149 0.000 2.594
```

Entry 20:
A plane-wave DFT calculation with GGA-PBE was carried out for a geometry-optimized Na5Ag2Hg structure.

formation enthalpy at 0 K = -44 meV per atom
symmetry = No. 55
total moment = 0.00 Bohr magnetons per cell
Fermi-level density of states = 0.433 states/eV/atom

POSCAR file:
```
Na5Ag2Hg
1.0
6.475 0.000 0.000
0.000 12.200 0.000
0.000 0.000 5.281
Na Ag Hg
10 4 2
Cartesian
0.000 0.000 0.000
0.892 4.545 2.641
1.141 8.957 0.000
2.097 2.857 0.000
2.346 10.645 2.641
3.238 6.100 0.000
4.130 1.555 2.641
4.378 9.343 0.000
5.335 3.243 0.000
5.583 7.655 2.641
0.862 1.299 2.641
2.376 7.399 2.641
4.099 4.801 2.641
5.614 10.900 2.641
0.000 6.100 0.000
3.238 0.000 0.000
```

Entry 21:
A plane-wave DFT calculation with GGA-PBE was carried out for a geometry-optimized Cd2AsRuO6 structure.

formation energy from raw total energies = -7.97 eV/f.u.
symmetry = No. 99
total moment = 1.36 Bohr magnetons per cell
Fermi-level density of states = 0.202 states/eV/atom

POSCAR file:
```
Cd2AsRuO6
1.0
5.356 0.000 0.000
0.000 5.356 0.000
0.000 0.000 4.783
Cd As Ru O
2 1 1 6
Cartesian
0.000 2.678 0.000
2.678 0.000 0.000
0.000 0.000 2.800
2.678 2.678 2.764
0.000 0.000 1.054
1.328 1.328 3.366
1.328 4.028 3.366
2.678 2.678 0.921
4.028 1.328 3.366
4.028 4.028 3.366
```

Entry 22:
A plane-wave DFT calculation with GGA-PBE was carried out for a geometry-optimized Na5Gd structure.

formation enthalpy at 0 K = 173 meV per atom
symmetry = No. 65
total moment = 7.57 Bohr magnetons per cell
Fermi-level density of states = 1.320 states/eV/atom

POSCAR file:
```
Na5Gd
1.0
3.114 -9.344 0.000
3.114 9.344 0.000
0.000 0.000 3.683
Na Gd
5 1
Cartesian
0.000 0.000 0.000
3.114 6.498 1.842
3.114 3.274 0.000
3.114 -3.274 0.000
3.114 -6.498 1.842
3.114 0.000 1.842
```